No. 1
# Zr2P3O12

A geometry-optimized Zr2P3O12 structure (PBEsol, Alexandria via LeMat-Bulk).

ρ = 3.02 g/cm³
Final energy = -8.42 eV per atom
Formation energy from raw total energies = -4303 kJ/mol of formula units

a b c (Å): 8.999 9.044 12.641
angles (deg): 90.00 90.02 90.00
Last column: magnetic moment on the atom in μB.
Atoms (fractional coordinates):
O  0.371  0.353  0.934  0.08
O  0.320  0.015  0.268  0.04
O  0.676  0.942  0.537  0.07
O  0.943  0.914  0.857  0.07
O  0.443  0.914  0.642  0.07
O  0.176  0.558  0.037  0.07
O  0.680  0.985  0.732  0.04
O  0.630  0.852  0.934  0.08
O  0.871  0.147  0.434  0.08
O  0.824  0.058  0.036  0.07
O  0.853  0.227  0.840  0.05
O  0.557  0.086  0.358  0.07
O  0.147  0.773  0.160  0.05
O  0.933  0.659  0.575  0.08
O  0.129  0.853  0.566  0.08
O  0.324  0.058  0.463  0.07
O  0.567  0.159  0.925  0.08
O  0.353  0.227  0.660  0.05
O  0.433  0.841  0.075  0.08
O  0.680  0.515  0.268  0.04
O  0.057  0.414  0.858  0.07
O  0.557  0.414  0.643  0.07
O  0.324  0.442  0.536  0.07
O  0.824  0.442  0.963  0.07
O  0.943  0.586  0.142  0.07
O  0.676  0.558  0.464  0.07
O  0.647  0.773  0.340  0.05
O  0.820  0.485  0.768  0.04
O  0.647  0.727  0.660  0.05
O  0.176  0.942  0.964  0.07
O  0.370  0.148  0.066  0.08
O  0.130  0.648  0.434  0.08
O  0.870  0.352  0.566  0.08
O  0.853  0.273  0.160  0.05
O  0.320  0.485  0.732  0.04
O  0.433  0.659  0.925  0.08
O  0.067  0.341  0.425  0.08
O  0.820  0.015  0.232  0.04
O  0.353  0.273  0.340  0.05
O  0.443  0.586  0.357  0.07
O  0.180  0.515  0.232  0.04
O  0.180  0.985  0.768  0.04
O  0.067  0.159  0.575  0.08
O  0.147  0.727  0.840  0.05
O  0.057  0.086  0.143  0.07
O  0.567  0.341  0.075  0.08
O  0.629  0.647  0.066  0.08
O  0.933  0.841  0.425  0.08
P  0.112  0.892  0.857  -0.01
P  0.388  0.392  0.643  -0.01
P  0.530  0.750  0.000  -0.01
P  0.112  0.608  0.143  -0.01
P  0.388  0.108  0.357  -0.01
P  0.888  0.392  0.857  -0.01
P  0.612  0.892  0.643  -0.01
P  0.970  0.250  0.500  -0.01
P  0.612  0.608  0.357  -0.01
P  0.888  0.108  0.143  -0.01
P  0.030  0.750  0.500  -0.01
P  0.470  0.250  0.000  -0.01
Zr  0.750  0.032  0.882  -0.01
Zr  0.250  0.968  0.118  -0.01
Zr  0.750  0.532  0.618  -0.01
Zr  0.250  0.532  0.882  -0.01
Zr  0.250  0.468  0.382  -0.01
Zr  0.750  0.968  0.382  -0.01
Zr  0.750  0.468  0.118  -0.01
Zr  0.250  0.032  0.618  -0.01

=====

No. 2
# ZrPO3

A geometry-optimized ZrPO3 structure (PBEsol, Alexandria via LeMat-Bulk).

ρ = 4.18 g/cm³
Final energy = -7.51 eV per atom
Formation energy from raw total energies = -668 kJ/mol of formula units

a b c (Å): 4.075 4.075 4.075
angles (deg): 90.00 90.00 90.00
Atoms (fractional coordinates):
O  0.500  0.500  0.000
O  0.500  0.000  0.500
O  0.000  0.500  0.500
Zr  0.500  0.500  0.500
P  0.000  0.000  0.000

=====

No. 3
# Zr2P3O12

A geometry-optimized Zr2P3O12 structure (PBEsol, Alexandria via LeMat-Bulk).

ρ = 2.92 g/cm³
Final energy = -8.42 eV per atom
Formation energy from raw total energies = -4305 kJ/mol of formula units

a b c (Å): 8.960 8.960 9.221
angles (deg): 60.93 60.93 60.00
Last column: magnetic moment on the atom in μB.
Atoms (fractional coordinates):
O  0.800  0.419  0.221  0.05
O  0.136  0.275  0.088  0.06
O  0.060  0.919  0.721  0.05
O  0.300  0.060  0.721  0.05
O  0.700  0.940  0.279  0.05
O  0.999  0.225  0.412  0.06
O  0.636  0.001  0.588  0.06
O  0.081  0.700  0.279  0.05
O  0.499  0.864  0.912  0.06
O  0.725  0.499  0.912  0.06
O  0.581  0.440  0.779  0.05
O  0.200  0.581  0.779  0.05
O  0.501  0.136  0.088  0.06
O  0.864  0.725  0.912  0.06
O  0.275  0.501  0.088  0.06
O  0.775  0.636  0.588  0.06
O  0.919  0.300  0.721  0.05
O  0.225  0.364  0.412  0.06
O  0.560  0.800  0.221  0.05
O  0.419  0.560  0.221  0.05
O  0.440  0.200  0.779  0.05
O  0.940  0.081  0.279  0.05
O  0.364  0.999  0.412  0.06
O  0.001  0.775  0.588  0.06
P  0.250  0.530  0.250  -0.01
P  0.530  0.970  0.250  -0.01
P  0.970  0.250  0.250  -0.01
P  0.030  0.750  0.750  -0.01
P  0.750  0.470  0.750  -0.01
P  0.470  0.030  0.750  -0.01
Zr  0.859  0.859  0.423  -0.01
Zr  0.359  0.359  0.923  -0.01
Zr  0.641  0.641  0.077  -0.01
Zr  0.141  0.141  0.577  -0.01

=====

No. 4
# Zr2P2O9

A geometry-optimized Zr2P2O9 structure (PBEsol, Alexandria via LeMat-Bulk).

ρ = 3.72 g/cm³
Energy relative to the lowest polymorph listed for this composition = 2 meV per atom
Final energy = -8.80 eV per atom
Formation energy from raw total energies = -3608 kJ/mol of formula units

a b c (Å): 6.617 7.654 8.284
angles (deg): 79.30 66.46 64.39
Atoms (fractional coordinates):
O  0.484  0.399  0.632
O  0.618  0.246  0.896
O  0.005  0.731  0.639
O  0.995  0.269  0.361
O  0.625  0.731  0.639
O  0.382  0.754  0.104
O  0.727  0.024  0.523
O  0.760  0.754  0.104
O  0.967  0.712  0.355
O  0.375  0.269  0.361
O  0.240  0.246  0.896
O  0.114  0.928  0.844
O  0.273  0.976  0.477
O  0.267  0.565  0.901
O  0.516  0.601  0.368
O  0.733  0.435  0.099
O  0.886  0.072  0.156
O  0.033  0.288  0.645
Zr  0.316  0.732  0.636
Zr  0.943  0.211  0.904
Zr  0.057  0.789  0.096
Zr  0.684  0.268  0.364
P  0.593  0.649  0.166
P  0.830  0.801  0.540
P  0.170  0.199  0.460
P  0.407  0.351  0.834

=====

No. 5
# ZrP2O7

A geometry-optimized ZrP2O7 structure (PBEsol, Alexandria via LeMat-Bulk).

ρ = 2.90 g/cm³
Final energy = -8.40 eV per atom
Formation energy from raw total energies = -2564 kJ/mol of formula units

a b c (Å): 8.473 8.473 8.473
angles (deg): 90.00 90.00 90.00
Atoms (fractional coordinates):
O  0.923  0.058  0.777
O  0.058  0.777  0.923
O  0.223  0.077  0.942
O  0.577  0.558  0.777
O  0.577  0.942  0.277
O  0.442  0.277  0.923
O  0.442  0.223  0.423
O  0.077  0.942  0.223
O  0.000  0.500  0.000
O  0.500  0.000  0.000
O  0.500  0.500  0.500
O  0.777  0.923  0.058
O  0.558  0.777  0.577
O  0.777  0.577  0.558
O  0.223  0.423  0.442
O  0.923  0.442  0.277
O  0.058  0.723  0.423
O  0.423  0.058  0.723
O  0.000  0.000  0.500
O  0.558  0.723  0.077
O  0.723  0.077  0.558
O  0.077  0.558  0.723
O  0.723  0.423  0.058
O  0.277  0.923  0.442
O  0.423  0.442  0.223
O  0.942  0.277  0.577
O  0.942  0.223  0.077
O  0.277  0.577  0.942
P  0.393  0.393  0.393
P  0.393  0.107  0.893
P  0.893  0.393  0.107
P  0.607  0.607  0.607
P  0.107  0.607  0.893
P  0.607  0.893  0.107
P  0.893  0.107  0.607
P  0.107  0.893  0.393
Zr  0.000  0.000  0.000
Zr  0.500  0.500  0.000
Zr  0.500  0.000  0.500
Zr  0.000  0.500  0.500

=====

No. 6
# Zr6P2O

A geometry-optimized Zr6P2O structure (PBEsol, Alexandria via LeMat-Bulk).

ρ = 6.68 g/cm³
Final energy = -9.33 eV per atom
Formation energy from raw total energies = -1215 kJ/mol of formula units

a b c (Å): 3.505 5.616 8.311
angles (deg): 92.02 90.00 108.19
Atoms (fractional coordinates):
Zr  0.863  0.726  0.451
Zr  0.562  0.124  0.246
Zr  0.860  0.720  0.058
Zr  0.438  0.876  0.754
Zr  0.140  0.280  0.942
Zr  0.137  0.274  0.549
P  0.253  0.505  0.249
P  0.747  0.495  0.751
O  0.500  0.000  0.500

=====

No. 7
# Zr2P2O9

A geometry-optimized Zr2P2O9 structure (PBEsol, Alexandria via LeMat-Bulk).

ρ = 3.74 g/cm³
Energy relative to the lowest polymorph listed for this composition = 0 meV per atom
Final energy = -8.80 eV per atom
Formation energy from raw total energies = -3611 kJ/mol of formula units

a b c (Å): 5.479 5.479 11.895
angles (deg): 90.00 90.00 105.24
Atoms (fractional coordinates):
Zr  0.706  0.294  0.062
Zr  0.294  0.706  0.938
Zr  0.794  0.206  0.562
Zr  0.206  0.794  0.438
O  0.515  0.133  0.415
O  0.564  0.436  0.623
O  0.015  0.633  0.085
O  0.361  0.639  0.772
O  0.367  0.985  0.085
O  0.139  0.861  0.272
O  0.936  0.064  0.123
O  0.436  0.564  0.377
O  0.639  0.361  0.228
O  0.000  0.000  0.500
O  0.485  0.867  0.585
O  0.861  0.139  0.728
O  0.500  0.500  0.000
O  0.867  0.485  0.415
O  0.133  0.515  0.585
O  0.064  0.936  0.877
O  0.985  0.367  0.915
O  0.633  0.015  0.915
P  0.106  0.894  0.147
P  0.394  0.606  0.647
P  0.606  0.394  0.353
P  0.894  0.106  0.853

=====

No. 8
# PaO3

A geometry-optimized PaO3 structure (PBEsol, Alexandria via LeMat-Bulk).

ρ = 11.49 g/cm³
Final energy = -9.16 eV per atom
Formation energy from raw total energies = -1028 kJ/mol of formula units

a b c (Å): 3.639 3.988 3.639
angles (deg): 62.86 90.00 117.14
Last column: magnetic moment on the atom in μB.
Atoms (fractional coordinates):
Pa  0.000  0.000  0.000  -0.03
O  0.500  0.000  0.500  0.56
O  0.750  0.500  0.750  0.17
O  0.250  0.500  0.250  0.17

=====

No. 9
# PaTlO3

A geometry-optimized PaTlO3 structure (PBEsol, Alexandria via LeMat-Bulk).

ρ = 9.72 g/cm³
Final energy = -8.46 eV per atom
Formation energy from raw total energies = -1320 kJ/mol of formula units

a b c (Å): 4.355 4.355 4.355
angles (deg): 90.00 90.00 90.00
Atoms (fractional coordinates):
O  0.500  0.500  0.000
O  0.000  0.500  0.500
O  0.500  0.000  0.500
Tl  0.000  0.000  0.000
Pa  0.500  0.500  0.500

=====

No. 10
# TmPaO4

A geometry-optimized TmPaO4 structure (PBEsol, Alexandria via LeMat-Bulk).

ρ = 10.41 g/cm³
Final energy = -9.83 eV per atom
Formation energy from raw total energies = -2207 kJ/mol of formula units

a b c (Å): 3.747 3.747 5.272
angles (deg): 90.00 90.00 90.00
Atoms (fractional coordinates):
O  0.500  0.000  0.744
O  0.500  0.000  0.256
O  0.000  0.500  0.744
O  0.000  0.500  0.256
Tm  0.000  0.000  0.000
Pa  0.500  0.500  0.500

=====

No. 11
# YPaO4

A geometry-optimized YPaO4 structure (PBEsol, Alexandria via LeMat-Bulk).

ρ = 8.42 g/cm³
Final energy = -10.13 eV per atom
Formation energy from raw total energies = -2192 kJ/mol of formula units

a b c (Å): 5.333 5.333 6.524
angles (deg): 114.13 114.13 90.00
Atoms (fractional coordinates):
Y  0.250  0.750  0.500
Y  0.000  0.000  0.000
O  0.385  0.875  0.250
O  0.125  0.135  0.750
O  0.865  0.375  0.250
O  0.625  0.135  0.750
O  0.385  0.375  0.250
O  0.865  0.875  0.250
O  0.625  0.615  0.750
O  0.125  0.615  0.750
Pa  0.500  0.500  0.000
Pa  0.750  0.250  0.500

=====

No. 12
# PbO2

A geometry-optimized PbO2 structure (PBEsol, Alexandria via LeMat-Bulk).

ρ = 9.65 g/cm³
Final energy = -5.68 eV per atom
Formation energy from raw total energies = -244 kJ/mol of formula units

a b c (Å): 5.072 5.480 5.923
angles (deg): 90.00 90.00 90.00
Atoms (fractional coordinates):
Pb  0.000  0.250  0.318
Pb  0.500  0.250  0.818
Pb  0.000  0.750  0.682
Pb  0.500  0.750  0.182
O  0.235  0.069  0.591
O  0.735  0.431  0.091
O  0.235  0.569  0.409
O  0.765  0.431  0.591
O  0.765  0.931  0.409
O  0.265  0.569  0.909
O  0.265  0.069  0.091
O  0.735  0.931  0.909